A plane-wave DFT calculation with PBE was carried out for crystalline Cs3Na2DyI8 at its relaxed geometry.

```
Cs3Na2DyI8
1.0
-0.903 1.424 -8.447
-4.193 -6.528 3.740
-8.929 6.953 2.127
I Cs Na Dy
8 3 2 1
Direct
0.324 0.162 0.658 I
0.162 0.324 0.342 I
0.333 0.667 0.933 I
0.162 0.838 0.342 I
0.838 0.676 0.658 I
0.838 0.162 0.658 I
0.667 0.333 0.067 I
0.676 0.838 0.342 I
0.000 0.000 0.000 Cs
0.667 0.333 0.385 Cs
0.333 0.667 0.615 Cs
0.667 0.333 0.816 Na
0.333 0.667 0.184 Na
0.000 0.000 0.500 Dy
```

Results
Magnetization in μB per cell: 0.00



A plane-wave DFT calculation with PBE was carried out for crystalline CsNa2DyI6 at its relaxed geometry.

```
CsNa2DyI6
1.0
8.293 0.001 0.003
4.147 7.177 0.001
4.148 2.393 7.656
Dy I Na Cs
1 6 2 1
Direct
0.329 0.329 0.013 Dy
0.568 0.261 0.227 I
0.183 0.328 0.757 I
0.261 0.944 0.227 I
0.328 0.731 0.757 I
0.944 0.569 0.227 I
0.732 0.183 0.757 I
0.997 0.998 0.007 Na
0.519 0.519 0.444 Na
0.800 0.800 0.600 Cs
```

Results
Magnetization in μB per cell: 0.00



Ordered Fermi-level density of states results: 0.00 0.00; unit states/eV per atom.
Ordered calculated volume results: 52.84 45.56; unit A^3/atom.
Ordered energy relative to the elements, uncorrected results: -1.37 -1.36; unit eV/atom.